Tm4SbAu: relaxed, PBE.

a = 4.0426 Å, b = 8.1892 Å, c = 19.1392 Å
α = 90.00°, β = 90.00°, γ = 90.00°
Fractional coordinates of all 24 atoms:
Tm  0.2500  0.5309  0.7156
Tm  0.2500  0.1329  0.5591
Tm  0.2500  0.1461  0.3452
Tm  0.2500  0.0074  0.0698
Tm  0.2500  0.0309  0.7844
Tm  0.2500  0.5074  0.4302
Tm  0.7500  0.3539  0.8452
Tm  0.7500  0.3671  0.0591
Tm  0.7500  0.8539  0.6548
Tm  0.2500  0.6329  0.9409
Tm  0.7500  0.8671  0.4409
Tm  0.7500  0.9926  0.9302
Tm  0.7500  0.4691  0.2844
Tm  0.7500  0.9691  0.2156
Tm  0.7500  0.4926  0.5698
Tm  0.2500  0.6461  0.1548
Au  0.2500  0.2552  0.9474
Au  0.2500  0.7552  0.5526
Au  0.7500  0.2448  0.4474
Au  0.7500  0.7448  0.0526
Sb  0.2500  0.2695  0.1874
Sb  0.7500  0.7305  0.8126
Sb  0.7500  0.2305  0.6874
Sb  0.2500  0.7695  0.3126

Calculated values
As for the density of states at the Fermi level: 25.77 states/eV/cell. The value obtained for the total magnetic moment is 1.17 μB/f.u. As for the crystal system: orthorhombic. The space group is Pnma (62). The polymorph energy (0 for the lowest one) is 0 meV per atom.